(1)
Material: Cu4Pt5
Method: DFT, GGA-PBEsol
State: optimized geometry

Structure (extended XYZ):
```
9
Lattice="4.6436 0.0000 0.0000 0.7573 4.5845 0.0000 0.7229 1.4228 5.7327" Properties=species:S:1:pos:R:3 pbc="T T T"
Cu 0.0000 0.0000 0.0000
Cu 1.4949 3.6267 4.5165
Cu 1.5370 1.3186 3.2654
Cu 3.8697 2.4713 3.8895
Pt 2.3169 3.5184 2.0187
Pt 2.3241 1.1689 0.6452
Pt 3.7725 4.8454 5.1157
Pt 4.6663 4.7166 2.6601
Pt 4.6583 2.3473 1.3203
```

Results
total DFT energy (no corrections)	-5.883	eV per atom
ΔE_f	-8.5	kJ/mol of atoms
DOS(E_F)	0.915	states/eV per atom
mass density	16.731	g cm⁻³
polymorph energy (0 for the lowest one)	0.000	eV/atom

(2)
Material: CuPt2
Method: DFT, GGA-PBEsol
State: optimized geometry

Structure (extended XYZ):
```
12
Lattice="4.4786 -4.0776 0.0000 4.4786 4.0776 0.0000 -0.8288 0.0000 4.5791" Properties=species:S:1:pos:R:3 pbc="T T T"
Cu 0.0000 0.0000 0.0000
Cu 1.6060 -0.0204 3.4411
Cu 4.4786 -1.3715 0.0000
Cu 6.5225 -0.0204 1.1380
Pt 1.9881 1.3389 1.1187
Pt 4.0642 2.7397 2.2895
Pt 4.4786 1.3234 0.0000
Pt 2.0361 -1.3535 1.1336
Pt 4.0642 -0.0358 2.2895
Pt 6.1403 1.3389 3.4603
Pt 4.0642 -2.7528 2.2895
Pt 6.0924 -1.3535 3.4455
```

Results
total DFT energy (no corrections)	-6.153	eV per atom
ΔE_f	-6.4	kJ/mol of atoms
DOS(E_F)	1.291	states/eV per atom
mass density	18.019	g cm⁻³

(3)
Material: CuPt2
Method: DFT, GGA-PBEsol
State: optimized geometry

Structure (extended XYZ):
```
12
Lattice="5.4108 0.0000 0.0000 -2.7054 4.6858 0.0000 0.0000 0.0000 6.5983" Properties=species:S:1:pos:R:3 pbc="T T T"
Cu 0.0000 0.0000 0.0000
Cu 0.0000 1.5427 4.4488
Cu -1.3694 3.9145 4.4488
Cu 1.3694 3.9145 4.4488
Pt -1.3446 2.3476 6.5669
Pt 1.3443 0.7761 2.2823
Pt 0.0000 3.1239 2.2709
Pt 1.3446 2.3476 6.5669
Pt 0.0000 4.6765 6.5669
Pt 2.7054 1.5619 4.4504
Pt 4.0664 0.7761 2.2823
Pt 2.7054 3.1336 2.2823
```

Results
total DFT energy (no corrections)	-6.184	eV per atom
ΔE_f	-9.4	kJ/mol of atoms
DOS(E_F)	0.837	states/eV per atom
mass density	18.014	g cm⁻³

(4)
Material: Cu5Pt7
Method: DFT, GGA-PBEsol
State: optimized geometry

Structure (extended XYZ):
```
12
Lattice="2.7327 0.0000 0.0000 0.0000 2.7327 0.0000 0.0000 0.0000 21.6748" Properties=species:S:1:pos:R:3 pbc="T T T"
Cu 0.0000 0.0000 0.0000
Cu 0.0000 0.0000 3.5241
Cu 0.0000 0.0000 7.0676
Cu 0.0000 0.0000 10.6090
Cu 1.3663 1.3663 20.1334
Pt 0.0000 0.0000 14.3808
Pt 0.0000 0.0000 18.3771
Pt 1.3663 1.3663 1.7480
Pt 1.3663 1.3663 5.2936
Pt 1.3663 1.3663 8.8403
Pt 1.3663 1.3663 12.3871
Pt 1.3663 1.3663 16.3697
```

Results
total DFT energy (no corrections)	-5.951	eV per atom
ΔE_f	-8.0	kJ/mol of atoms
DOS(E_F)	1.179	states/eV per atom
mass density	17.269	g cm⁻³
polymorph energy (0 for the lowest one)	0.020	eV/atom